(1)
This record from Alexandria via LeMat-Bulk describes crystalline Pu2PaFe at its relaxed geometry. The functional is PBE.

As for the size of the total moment: 8.25 μB per cell. For the energy of formation, the calculation gives 0.22 eV/f.u. The value obtained for the electronic total energy is -46.41 eV for the cell shown.

The space group is P4/mmm (No. 123) and the conventional cell measures 3.411, 3.411 and 7.015 Å, with angles of 90.00, 90.00 and 90.00 degrees. The distinct sites, in fractional coordinates, are Pu at (0.000, 0.000, 0.216), Pa at (0.500, 0.500, 0.500) and Fe at (0.500, 0.500, 0.000).

=====

(2)
This record from Alexandria via LeMat-Bulk describes crystalline Y4AlInO at its relaxed geometry. The functional is PBE.

As for the size of the total moment: 0.00 μB per cell. The uncorrected formation energy comes out at -1.0715 eV/atom. The value obtained for the electronic total energy is -179.18 eV for the cell shown.

The space group is Cmcm (No. 63) and the conventional cell measures 6.539, 16.288 and 6.543 Å, with angles of 90.00, 90.00 and 90.00 degrees. The distinct sites, in fractional coordinates, are Y at (0.000, 0.075, 0.250), Y at (0.000, 0.417, 0.250), Y at (0.250, 0.250, 0.000), Al at (0.000, 0.116, 0.750), In at (0.000, 0.389, 0.750) and O at (0.000, 0.256, 0.250).

=====

What did the first record say?
This record from Alexandria via LeMat-Bulk describes crystalline Pu2PaFe at its relaxed geometry. The functional is PBE.

As for the size of the total moment: 8.25 μB per cell. For the energy of formation, the calculation gives 0.22 eV/f.u. The value obtained for the electronic total energy is -46.41 eV for the cell shown.

The space group is P4/mmm (No. 123) and the conventional cell measures 3.411, 3.411 and 7.015 Å, with angles of 90.00, 90.00 and 90.00 degrees. The distinct sites, in fractional coordinates, are Pu at (0.000, 0.000, 0.216), Pa at (0.500, 0.500, 0.500) and Fe at (0.500, 0.500, 0.000).

=====

Copy entry 1 word for word.
This record from Alexandria via LeMat-Bulk describes crystalline Pu2PaFe at its relaxed geometry. The functional is PBE.

As for the size of the total moment: 8.25 μB per cell. For the energy of formation, the calculation gives 0.22 eV/f.u. The value obtained for the electronic total energy is -46.41 eV for the cell shown.

The space group is P4/mmm (No. 123) and the conventional cell measures 3.411, 3.411 and 7.015 Å, with angles of 90.00, 90.00 and 90.00 degrees. The distinct sites, in fractional coordinates, are Pu at (0.000, 0.000, 0.216), Pa at (0.500, 0.500, 0.500) and Fe at (0.500, 0.500, 0.000).

=====

Among the records above, which one has the lowest size of the total moment?
Y4AlInO

=====

Number 2 is which compound?
Y4AlInO